<1>
Computed, not measured: Tb7PrDy12 after structural relaxation at the PBE level of DFT.

```
Tb7PrDy12
1.0
8.5927 0.7481 1.1229
-1.6707 8.4619 1.1229
-1.6707 -2.2229 8.2415
Tb Pr Dy
7 1 12
Cartesian
5.1604 3.9790 9.8629
2.8642 0.2204 1.0931
-0.5847 -0.0745 3.0165
2.6257 3.4935 5.2437
5.8360 7.0616 7.4708
2.3872 6.7666 9.3943
0.0910 3.0081 0.6244
0.0000 0.0000 0.0000
5.4157 1.2180 6.8013
5.5873 2.8446 2.7544
3.1647 0.6740 4.1101
5.4839 4.4371 5.9259
1.1788 0.1701 6.7437
2.7373 2.9647 8.2823
2.5141 4.0224 2.2050
4.0725 6.8169 3.7436
-0.2326 2.5500 4.5614
2.0866 6.3131 6.3772
-0.3359 4.1425 7.7329
-0.1643 5.7691 3.6860
```



<2>
Computed, not measured: Tb7PrDy12 after structural relaxation at the PBE level of DFT.

```
Tb7PrDy12
1.0
-5.8408 -0.3710 -7.8062
9.3050 -0.6154 -2.8683
-2.0640 -7.4414 5.9627
Tb Pr Dy
7 1 12
Cartesian
1.7321 -0.4932 -5.3372
3.6205 -4.0284 1.5472
-3.9524 -3.9062 -0.9217
0.7001 -4.2139 -2.3559
-1.0320 -3.7207 2.9814
-2.9204 -0.1855 -3.9031
4.6525 -0.3077 -1.4342
0.0000 0.0000 0.0000
2.5263 -6.1938 -1.5305
0.5770 -2.7189 -8.4292
-1.1262 -2.2340 -3.1813
0.8232 -5.7089 3.7174
-4.8797 -2.1685 -4.3098
-1.3198 -6.1295 -2.7885
6.2798 -6.2593 -0.4019
2.7199 -2.2983 -1.9232
1.5713 -4.3967 -5.0287
-0.1711 -4.0311 0.3170
-4.0574 -7.8719 -0.5893
5.4575 -0.5559 -4.1224
```



Stability check: which of them is most stable? <1>.